A geometry-optimized Zr2NbTc structure, computed with PBE-GGA.

Energy relative to the elements, eV per atom: -0.07
Energy above the most stable polymorph in this dataset, meV/atom: 63

```
Zr2NbTc
1.0
4.749 0.000 0.000
2.374 4.112 0.000
2.374 1.371 3.877
Nb Tc Zr
1 1 2
Direct
0.000 0.000 0.000 Nb
0.500 0.500 0.500 Tc
0.750 0.750 0.750 Zr
0.250 0.250 0.250 Zr
```

---

A geometry-optimized ScVGa structure, computed with PBE-GGA.

Energy relative to the elements, eV per atom: -0.15
Energy above the most stable polymorph in this dataset, meV/atom: 0

```
ScVGa
1.0
5.193 -0.052 -0.038
1.558 6.473 -0.108
1.552 1.220 6.358
Sc Ga V
4 4 4
Direct
0.270 0.656 0.907 Sc
0.271 0.156 0.406 Sc
0.730 0.344 0.093 Sc
0.729 0.844 0.594 Sc
0.947 0.557 0.307 Ga
0.052 0.943 0.193 Ga
0.948 0.057 0.807 Ga
0.053 0.443 0.693 Ga
0.409 0.635 0.385 V
0.590 0.865 0.114 V
0.410 0.135 0.886 V
0.591 0.365 0.615 V
```

---

A geometry-optimized Cs5SnSe4 structure, computed with PBE-GGA.

Formation energy (no corrections), eV per formula unit: -9.65

```
Cs5SnSe4
1.0
-0.915 7.488 4.104
-9.090 2.210 -6.060
-6.027 -4.743 7.311
Cs Se Sn
10 8 2
Direct
0.263 0.306 0.741 Cs
0.737 0.194 0.241 Cs
0.263 0.694 0.259 Cs
0.737 0.194 0.759 Cs
0.150 0.000 0.500 Cs
0.850 0.500 0.000 Cs
0.737 0.806 0.241 Cs
0.737 0.806 0.759 Cs
0.263 0.306 0.259 Cs
0.263 0.694 0.741 Cs
0.966 0.294 0.500 Se
0.966 0.706 0.500 Se
0.613 0.500 0.717 Se
0.034 0.206 0.000 Se
0.387 0.000 0.783 Se
0.387 0.000 0.217 Se
0.034 0.794 0.000 Se
0.613 0.500 0.283 Se
0.788 0.500 0.500 Sn
0.212 0.000 0.000 Sn
```

---

A geometry-optimized InBi5Pb8 structure, computed with PBE-GGA.

Energy relative to the elements, eV per atom: 0.05

```
InBi5Pb8
1.0
-4.697 6.179 -3.338
-3.609 -7.466 -1.618
0.574 1.096 8.358
Pb Bi In
8 5 1
Direct
0.781 0.252 0.373 Pb
0.957 0.085 0.702 Pb
0.627 0.408 0.878 Pb
0.127 0.744 0.043 Pb
0.122 0.748 0.529 Pb
0.471 0.592 0.219 Pb
0.298 0.256 0.383 Pb
0.617 0.915 0.873 Pb
0.997 0.366 0.123 Bi
0.877 0.874 0.243 Bi
0.369 0.126 0.003 Bi
0.757 0.634 0.631 Bi
0.500 0.000 0.500 Bi
0.250 0.500 0.750 In
```

---

A geometry-optimized ZnTcPb2 structure, computed with PBE-GGA.

Energy relative to the elements, eV per atom: 0.46

```
ZnTcPb2
1.0
-8.565 5.635 0.540
-3.798 -6.446 7.031
-5.155 0.979 5.609
Zn Pb Tc
2 4 2
Direct
0.500 0.500 0.000 Zn
0.250 0.750 0.500 Zn
0.875 0.625 0.250 Pb
0.875 0.125 0.750 Pb
0.875 0.125 0.250 Pb
0.375 0.125 0.750 Pb
0.000 0.000 0.000 Tc
0.750 0.250 0.500 Tc
```

---

A geometry-optimized Li2AcSi structure, computed with PBE-GGA.

Formation energy (no corrections), eV per formula unit: -1.13

```
Li2AcSi
1.0
4.603 0.000 0.000
0.000 9.593 0.000
-2.301 -4.797 8.480
Si Li Ac
4 8 4
Direct
0.857 0.593 0.714 Si
0.143 0.878 0.286 Si
0.857 0.122 0.714 Si
0.143 0.407 0.286 Si
0.901 0.901 0.801 Li
0.303 0.632 0.606 Li
0.697 0.026 0.394 Li
0.927 0.427 0.854 Li
0.697 0.368 0.394 Li
0.073 0.573 0.146 Li
0.099 0.099 0.199 Li
0.303 0.974 0.606 Li
0.500 0.234 0.000 Ac
0.500 0.766 0.000 Ac
0.704 0.704 0.409 Ac
0.296 0.296 0.591 Ac
```

---

A geometry-optimized In2TcMo structure, computed with PBE-GGA.

Energy relative to the elements, eV per atom: 0.26
Energy above the most stable polymorph in this dataset, meV/atom: 113

```
In2TcMo
1.0
-2.734 -7.493 -4.898
0.277 -7.362 -5.774
-0.520 -8.814 -3.109
Tc In Mo
1 2 1
Direct
0.760 0.760 0.760 Tc
0.007 0.007 0.007 In
0.244 0.244 0.244 In
0.489 0.489 0.489 Mo
```

---

A geometry-optimized LiCeAu4 structure, computed with PBE-GGA.

Energy relative to the elements, eV per atom: -0.43
Energy above the most stable polymorph in this dataset, meV/atom: 50

```
LiCeAu4
1.0
4.968 0.000 0.000
0.000 7.162 0.000
-2.484 0.000 6.988
Au Li Ce
8 2 2
Direct
0.787 0.557 0.573 Au
0.402 0.250 0.803 Au
0.000 0.500 0.000 Au
0.598 0.750 0.197 Au
0.213 0.443 0.427 Au
0.213 0.057 0.427 Au
0.787 0.943 0.573 Au
0.000 0.000 0.000 Au
0.132 0.750 0.264 Li
0.868 0.250 0.736 Li
0.390 0.750 0.781 Ce
0.610 0.250 0.219 Ce
```

---

no.,ρ (g/cm³),raw total energy (eV/cell),total magnetic moment (μB per formula unit)
1,8.19,-37.80,0.00
2,5.11,-75.74,0.00
3,3.60,-63.72,0.00
4,10.08,-51.18,0.00
5,7.26,-34.46,0.00
6,4.77,-57.95,0.25
7,8.98,-25.62,0.00
8,12.49,-47.09,0.96